No. 1
First-principles (GGA-PBE) data for a relaxed structure of ZrGeO2, as listed in the Alexandria database.

```
data_ZrGeO2
_cell_length_a 7.118
_cell_length_b 7.118
_cell_length_c 7.118
_cell_angle_alpha 125.97
_cell_angle_beta 125.97
_cell_angle_gamma 79.94
_space_group_name_H-M_alt 'P 1'
_space_group_IT_number 1
loop_
_space_group_symop_operation_xyz
'x,y,z'
loop_
_atom_site_label
_atom_site_type_symbol
_atom_site_fract_x
_atom_site_fract_y
_atom_site_fract_z
_atom_site_occupancy
O1 O 0.577 0.802 0.225 1
O2 O 0.198 0.423 0.775 1
Ge1 Ge 0.875 0.125 0.750 1
O3 O 0.552 0.827 0.725 1
O4 O 0.173 0.898 0.725 1
Ge2 Ge 0.875 0.125 0.250 1
O5 O 0.577 0.352 0.775 1
Ge3 Ge 0.375 0.125 0.250 1
Zr1 Zr 0.375 0.625 0.250 1
Ge4 Ge 0.875 0.625 0.750 1
Zr2 Zr 0.375 0.125 0.750 1
Zr3 Zr 0.875 0.625 0.250 1
O6 O 0.102 0.827 0.275 1
O7 O 0.648 0.423 0.225 1
Zr4 Zr 0.375 0.625 0.750 1
O8 O 0.173 0.448 0.275 1
```

Results
SG = No. 141
Raw formation energy = -1.6370 eV per atom



No. 2
First-principles (GGA-PBE) data for a relaxed structure of TaCu2Pb, as listed in the Alexandria database.

```
data_TaCu2Pb
_cell_length_a 5.700
_cell_length_b 5.700
_cell_length_c 5.700
_cell_angle_alpha 149.84
_cell_angle_beta 128.19
_cell_angle_gamma 61.12
_space_group_name_H-M_alt 'P 1'
_space_group_IT_number 1
loop_
_space_group_symop_operation_xyz
'x,y,z'
loop_
_atom_site_label
_atom_site_type_symbol
_atom_site_fract_x
_atom_site_fract_y
_atom_site_fract_z
_atom_site_occupancy
Cu1 Cu 0.017 0.017 0.000 1
Pb1 Pb 0.750 0.250 0.500 1
Ta1 Ta 0.250 0.750 0.500 1
Cu2 Cu 0.483 0.483 0.000 1
```

Results
SG = No. 71
ΔE_f = 521 meV/atom